# Tb2PmSb3 | the Alexandria database | PBE | relaxed
# - ΔE_f (raw) (meV/atom) = -1159
# - E (eV per atom) = -5.56
# - calculated density (g/cm³) = 7.44
data_Tb2PmSb3
_chemical_formula_sum 'Tb4 Pm2 Sb6'
_space_group_name_H-M_alt 'I m m m'
_space_group_IT_number 71
_space_group_name_Hall '-I 2 2'
_cell_length_a 4.434
_cell_length_b 6.268
_cell_length_c 13.298
_cell_angle_alpha 90.00
_cell_angle_beta 90.00
_cell_angle_gamma 90.00
loop_
_atom_site_label
_atom_site_type_symbol
_atom_site_fract_x
_atom_site_fract_y
_atom_site_fract_z
Tb1 Tb 0.000 0.000 0.166
Pm1 Pm 0.000 0.000 0.500
Sb1 Sb 0.000 0.500 0.170
Sb2 Sb 0.000 0.500 0.500



# TbPmSb | the Alexandria database | PBE | relaxed
# - distance to the lowest polymorph of the same formula (eV/atom) = 0.183
# - ΔE_f (raw) (meV/atom) = -655
# - E (eV per atom) = -5.16
# - calculated density (g/cm³) = 8.30
data_TbPmSb
_chemical_formula_sum 'Tb2 Pm2 Sb2'
_space_group_name_H-M_alt 'I 4 m m'
_space_group_IT_number 107
_space_group_name_Hall 'I 4 -2'
_cell_length_a 4.083
_cell_length_b 4.083
_cell_length_c 10.221
_cell_angle_alpha 90.00
_cell_angle_beta 90.00
_cell_angle_gamma 90.00
loop_
_atom_site_label
_atom_site_type_symbol
_atom_site_fract_x
_atom_site_fract_y
_atom_site_fract_z
Tb1 Tb 0.000 0.000 0.000
Pm1 Pm 0.000 0.000 0.309
Sb1 Sb 0.000 0.000 0.649